The following is a PBE-GGA calculation of La2CdSe after structural relaxation, from Alexandria via LeMat-Bulk.

Calculated values
- ρ: 7.0 g cm⁻³
- Density of states at the Fermi level: 4.2 states/eV per cell
- Formation energy (no corrections): -0.96 eV/atom
- Total magnetization: 0.000 μB per cell
- ΔE to the lowest computed polymorph: 0.091 eV per atom
- E: -4.526 eV/atom

Cell lengths 3.6507, 3.6507, 8.3919 Å; angles 90.00, 90.00, 90.00 degrees
Closest atoms and distances in Å follow each position.
Atoms (fractional coordinates):
Cd: 0.5000 0.5000 0.7500  8 La 3.45, 4 Cd 3.65
La: 0.0000 0.0000 0.0226  4 Se 3.21, 4 Cd 3.45
La: 0.0000 0.0000 0.4774  4 Se 3.21, 4 Cd 3.45
Se: 0.5000 0.5000 0.2500  8 La 3.21